# CsTiSe2, optimized geometry, DFT PBE-GGA
data_CsTiSe2
_symmetry_space_group_name_H-M 'P 1'
_symmetry_Int_Tables_number 1
_cell_length_a 3.910
_cell_length_b 3.910
_cell_length_c 8.781
_cell_angle_alpha 90.00
_cell_angle_beta 90.00
_cell_angle_gamma 120.00
loop_
_symmetry_equiv_pos_as_xyz
'x,y,z'
loop_
_atom_site_label
_atom_site_type_symbol
_atom_site_fract_x
_atom_site_fract_y
_atom_site_fract_z
Se1 Se 0.667 0.333 0.164
Se2 Se 0.333 0.667 0.841
Ti1 Ti 0.000 0.000 0.999
Cs1 Cs 0.333 0.667 0.451
# * symmetry: P3m1 (156)
# * uncorrected energy: -0.3643 Ry per atom
# * ΔE_f (raw): -1.027 eV per atom